Here is a geometry-optimized CdMoF5 structure from the Alexandria database. Energies are from PBE with a Hubbard U.

* symmetry: Immm (71)
* magnetic moment: 3.0 μB per formula unit
* E: -4.67 eV/atom

Lattice parameters (Å, degrees): 3.953 5.984 5.984 74.17 70.71 70.71
Last column: magnetic moment on the atom in μB.
Element x y z (fractional)
Cd  0.000  0.000  0.000  0.00
Mo  0.500  0.500  0.500  2.78
F  0.734  0.266  0.266  0.05
F  0.000  0.334  0.666  -0.01
F  0.500  0.000  0.000  0.00
F  0.000  0.666  0.334  -0.01
F  0.266  0.734  0.734  0.05